# 1
The following is a DFT calculation (PBE) of a relaxed structure of Hg2Ir2Au.

Calculated values
M_tot: 0.00 μB per cell
calculated formation energy: 0.433 eV/atom
volume: 19.24 A^3/atom

abc: 6.7828 6.7828 4.1815
angles: 90.00 90.00 90.00
Last column: nearest neighbours and their distance in Å.
Space group P4/mbm (No. 127)
One atom of each set of equivalent atoms:
Hg (0.1745, 0.3255, 0.0000)  6 Ir 2.82-2.95
Ir (0.1288, 0.6288, 0.5000)  1 Ir 2.47, 2 Au 2.67
Au (0.0000, 0.0000, 0.5000)  4 Ir 2.67



# 2
The following is a DFT calculation (PBE) of a relaxed structure of Fe2Tc.

Calculated values
M_tot: 0.65 μB per cell
calculated formation energy: 0.651 eV/atom
volume: 12.75 A^3/atom

abc: 3.2969 3.2969 14.0728
angles: 90.00 90.00 90.00
Last column: nearest neighbours and their distance in Å.
Space group I4_1/amd (No. 141, origin choice 2)
One atom of each set of equivalent atoms:
Fe (0.0000, 0.2500, 0.2969)  3 Fe 2.11-2.20
Tc (0.0000, 0.2500, 0.8750)  8 Fe 2.58



# 3
The following is a DFT calculation (PBE) of a relaxed structure of K3Rb3Au.

Calculated values
M_tot: 0.00 μB per cell
calculated formation energy: -0.080 eV/atom
volume: 68.99 A^3/atom

abc: 8.3957 8.3957 47.4703
angles: 90.00 90.00 120.00
Last column: nearest neighbours and their distance in Å.
Space group R-3 (No. 148, hexagonal axes)
One atom of each set of equivalent atoms:
K (0.9997, 0.3325, 0.2942)  9 K 4.65-4.86, 3 Rb 4.87-4.90
Rb (0.0005, 0.6638, 0.5432)  2 Au 3.46
Au (0.0000, 0.0000, 0.1667)  6 Rb 3.46



# 4
The following is a DFT calculation (PBE) of a relaxed structure of CaOs4Pb.

Calculated values
M_tot: 0.01 μB per cell
calculated formation energy: 0.531 eV/atom
volume: 18.13 A^3/atom

abc: 7.5781 7.5781 7.5781
angles: 90.00 90.00 90.00
Last column: nearest neighbours and their distance in Å.
Space group F-43m (No. 216)
One atom of each set of equivalent atoms:
Ca (0.0000, 0.0000, 0.0000)  12 Os 3.14, 4 Pb 3.28
Os (0.1250, 0.1250, 0.6250)  6 Os 2.68
Pb (0.2500, 0.2500, 0.2500)  12 Os 3.14, 4 Ca 3.28



# 5
The following is a DFT calculation (PBE) of a relaxed structure of LaGe4Pd6.

Calculated values
M_tot: 0.00 μB per cell
calculated formation energy: -0.686 eV/atom
volume: 17.16 A^3/atom

abc: 7.3222 7.3222 4.0656
angles: 90.00 90.00 120.00
Last column: nearest neighbours and their distance in Å.
Space group P-6m2 (No. 187)
One atom of each set of equivalent atoms:
La (0.0000, 0.0000, 0.0000)  6 Ge 3.20, 6 Pd 3.26
Ge (0.3333, 0.6667, 0.0000)  9 Pd 2.56-2.64
Ge (0.3906, 0.1953, 0.5000)  6 Pd 2.51-2.66
Pd (0.2008, 0.4016, 0.5000)  4 Ge 2.51-2.64
Pd (0.5354, 0.0707, 0.0000)  5 Ge 2.56-2.66



# 6
The following is a DFT calculation (PBE) of a relaxed structure of Na2Ca2Y.

Calculated values
M_tot: 0.92 μB per cell
calculated formation energy: 0.314 eV/atom
volume: 36.80 A^3/atom

abc: 9.9848 9.9848 3.6908
angles: 90.00 90.00 90.00
Last column: nearest neighbours and their distance in Å.
Space group P4/mbm (No. 127)
One atom of each set of equivalent atoms:
Na (0.1645, 0.3355, 0.0000)  6 Ca 3.37-3.54, 2 Na 3.69
Ca (0.1361, 0.6361, 0.5000)  6 Na 3.37-3.54, 2 Ca 3.69
Y (0.0000, 0.0000, 0.5000)  2 Y 3.69, 4 Ca 3.88



# 7
The following is a DFT calculation (PBE) of a relaxed structure of Mg6SbMo.

Calculated values
M_tot: 3.23 μB per cell
ΔE_f (raw): 13.60 kJ/mol of atoms
volume: 20.81 A^3/atom

abc: 5.1142 5.9906 10.8670
angles: 90.00 90.00 90.00
Last column: nearest neighbours and their distance in Å.
Space group Amm2 (No. 38)
One atom of each set of equivalent atoms:
Mg (0.0000, 0.0000, 0.0000)  10 Mg 3.00-3.17, 2 Sb 3.12
Mg (0.0000, 0.0000, 0.4892)  10 Mg 3.00-3.21, 2 Mo 3.08
Mg (0.0000, 0.2378, 0.2467)  7 Mg 2.85-3.17, 2 Mo 3.07, 2 Sb 3.15
Mg (0.5000, 0.2480, 0.5830)  8 Mg 2.97-3.13, 2 Sb 3.09-3.12, 2 Mo 3.10-3.11
Sb (0.5000, 0.0000, 0.8351)  2 Mo 3.00, 10 Mg 3.09-3.15
Mo (0.5000, 0.0000, 0.3319)  2 Sb 3.00, 10 Mg 3.07-3.11



# 8
The following is a DFT calculation (PBE) of a relaxed structure of Pm4Nd3Y.

Calculated values
M_tot: 0.00 μB per cell
calculated formation energy: 0.029 eV/atom
volume: 34.85 A^3/atom

abc: 11.8008 7.3942 6.3897
angles: 90.00 90.00 90.00
Last column: nearest neighbours and their distance in Å.
Space group Pmn2_1 (No. 31)
One atom of each set of equivalent atoms:
Pm (0.0000, 0.1239, 0.0000)  6 Pm 3.62-3.70, 4 Nd 3.64-3.71, 2 Y 3.69
Pm (0.0000, 0.8750, 0.5022)  6 Pm 3.63-3.70, 4 Nd 3.64-3.69, 2 Y 3.69-3.70
Pm (0.2484, 0.1248, 0.3326)  6 Pm 3.62-3.69, 1 Y 3.62, 5 Nd 3.66-3.70
Nd (0.0000, 0.6262, 0.0010)  4 Nd 3.64, 6 Pm 3.66-3.71, 2 Y 3.69-3.70
Nd (0.2498, 0.3751, 0.8347)  6 Pm 3.64-3.70, 4 Nd 3.64-3.69, 2 Y 3.64
Y (0.0000, 0.3744, 0.4998)  6 Pm 3.62-3.70, 6 Nd 3.64-3.70



# 9
The following is a DFT calculation (PBE) of a relaxed structure of PrScBe2Pd5.

Calculated values
M_tot: 0.00 μB per cell
calculated formation energy: -0.621 eV/atom
volume: 16.39 A^3/atom

abc: 4.3322 4.3322 7.8613
angles: 90.00 90.00 90.00
Last column: nearest neighbours and their distance in Å.
Space group P4/mmm (No. 123)
One atom of each set of equivalent atoms:
Pr (0.0000, 0.0000, 0.0000)  12 Pd 3.04-3.06
Sc (0.0000, 0.0000, 0.5000)  8 Pd 2.82
Be (0.5000, 0.5000, 0.3547)  4 Pd 2.26, 1 Be 2.28
Pd (0.0000, 0.5000, 0.2712)  2 Be 2.26
Pd (0.5000, 0.5000, 0.0000)  2 Be 2.79, 8 Pd 3.04, 4 Pr 3.06



# 10
The following is a DFT calculation (PBE) of a relaxed structure of Rb2SrH.

Calculated values
M_tot: 0.00 μB per cell
total energy: -19.16 eV per cell
volume: 58.14 A^3/atom

abc: 9.7617 9.7617 9.7617
angles: 90.00 90.00 90.00
Last column: nearest neighbours and their distance in Å.
Space group Fm-3m (No. 225)
One atom of each set of equivalent atoms:
Rb (0.2500, 0.2500, 0.2500)  4 H 4.23, 4 Sr 4.23
Sr (0.0000, 0.0000, 0.0000)  8 Rb 4.23
H (0.0000, 0.0000, 0.5000)  8 Rb 4.23



# 11
The following is a DFT calculation (PBE) of a relaxed structure of VCrW.

Calculated values
M_tot: 0.00 μB per cell
calculated formation energy: -0.066 eV/atom
volume: 13.74 A^3/atom

abc: 4.2455 9.0730 4.2814
angles: 90.00 90.00 90.00
Last column: nearest neighbours and their distance in Å.
Space group Cmcm (No. 63)
One atom of each set of equivalent atoms:
V (0.0000, 0.0874, 0.2500)  4 Cr 2.59-2.60, 2 W 2.66, 2 V 2.66
Cr (0.0000, 0.2493, 0.7500)  4 W 2.57-2.60, 4 V 2.59-2.60
W (0.0000, 0.4112, 0.2500)  4 Cr 2.57-2.60, 2 V 2.66, 2 W 2.68



# 12
The following is a DFT calculation (PBE) of a relaxed structure of BaTaCd2.

Calculated values
M_tot: 0.00 μB per cell
calculated formation energy: 0.623 eV/atom
volume: 26.61 A^3/atom

abc: 3.2928 5.5465 11.6544
angles: 90.00 90.00 90.00
Last column: nearest neighbours and their distance in Å.
Space group Immm (No. 71)
One atom of each set of equivalent atoms:
Ba (0.0000, 0.0000, 0.0000)  4 Ta 3.23, 2 Ba 3.29
Ta (0.0000, 0.0000, 0.5000)  4 Cd 2.97, 4 Ba 3.23, 2 Ta 3.29
Cd (0.0000, 0.5000, 0.2123)  2 Ta 2.97, 2 Cd 3.29



Copy entry 4 word for word.
The following is a DFT calculation (PBE) of a relaxed structure of CaOs4Pb.

Calculated values
M_tot: 0.01 μB per cell
calculated formation energy: 0.531 eV/atom
volume: 18.13 A^3/atom

abc: 7.5781 7.5781 7.5781
angles: 90.00 90.00 90.00
Last column: nearest neighbours and their distance in Å.
Space group F-43m (No. 216)
One atom of each set of equivalent atoms:
Ca (0.0000, 0.0000, 0.0000)  12 Os 3.14, 4 Pb 3.28
Os (0.1250, 0.1250, 0.6250)  6 Os 2.68
Pb (0.2500, 0.2500, 0.2500)  12 Os 3.14, 4 Ca 3.28